1.
The following is a PBE calculation of a relaxed structure of Ba2ZrTl, from Alexandria via LeMat-Bulk.

a b c (Å): 3.8486 3.8486 35.2816
angles (deg): 90.00 90.00 120.00
Space group R3m (No. 160, hexagonal axes)
Symmetry-distinct sites (fractional):
Ba 0.0000 0.0000 0.0000 [3 per cell]
Ba 0.0000 0.0000 0.2223 [3 per cell]
Zr 0.0000 0.0000 0.7480 [3 per cell]
Tl 0.0000 0.0000 0.4768 [3 per cell]

Properties
density of states at the Fermi level: 1.069 states/eV/atom
E_form: 0.287 eV/atom
E above lowest polymorph: 0.152 eV per atom
magnetic moment: 0.1 μB/f.u.

2.
The following is a PBE calculation of a relaxed structure of CaZr2ZnN4, from Alexandria via LeMat-Bulk.

a b c (Å): 3.314 11.047 11.439
angles (deg): 90.00 90.00 90.00
Space group Cmcm (No. 63)
Symmetry-distinct sites (fractional):
Ca 0.000 0.101 0.250 [4 per cell]
Zr 0.000 0.367 0.050 [8 per cell]
Zn 0.000 0.160 0.750 [4 per cell]
N 0.000 0.000 0.000 [4 per cell]
N 0.000 0.261 0.606 [8 per cell]
N 0.000 0.442 0.250 [4 per cell]

Properties
E_form (uncorrected): -1.1274 eV per atom
magnetic moment: 0.0 μB/f.u.